Record 1
Here is crystalline ZnNiAu4 at its relaxed geometry from Alexandria via LeMat-Bulk. Energies are from PBE-GGA.

abc: 5.423 5.423 5.423
angles: 60.00 60.00 60.00
Site moments in Bohr magnetons follow the coordinates.
Positions (direct):
Ni (0.750, 0.750, 0.750)  0.32
Au (0.375, 0.375, 0.875)  0.00
Au (0.375, 0.875, 0.375)  0.00
Au (0.875, 0.375, 0.375)  0.00
Au (0.375, 0.375, 0.375)  0.00
Zn (0.000, 0.000, 0.000)  0.00

Calculated values
For the energy relative to the elements, the calculation gives 0.320 eV per atom. The value obtained for the total energy is -3.041 eV/atom.


Record 2
Here is crystalline ZnNi2Au at its relaxed geometry from Alexandria via LeMat-Bulk. Energies are from PBE-GGA.

abc: 4.470 4.470 4.470
angles: 128.24 128.29 76.19
Positions (direct):
Ni (0.500, 0.500, 0.000)
Ni (0.000, 0.000, 0.000)
Zn (0.750, 0.250, 0.500)
Au (0.250, 0.750, 0.500)

Calculated values
For the energy relative to the elements, the calculation gives -0.084 eV per atom. The value obtained for the total energy is -4.113 eV/atom.


Record 3
Here is crystalline Zn6Ni5Au at its relaxed geometry from Alexandria via LeMat-Bulk. Energies are from PBE-GGA.

abc: 3.864 6.867 6.108
angles: 90.00 71.56 90.00
Positions (direct):
Zn (0.171, 0.741, 0.657)
Zn (0.829, 0.259, 0.343)
Zn (0.829, 0.741, 0.343)
Zn (0.171, 0.259, 0.657)
Zn (0.500, 0.267, 0.000)
Zn (0.500, 0.733, 0.000)
Ni (0.671, 0.000, 0.658)
Ni (0.000, 0.500, 0.000)
Ni (0.329, 0.000, 0.342)
Ni (0.666, 0.500, 0.668)
Ni (0.334, 0.500, 0.332)
Au (0.000, 0.000, 0.000)

Calculated values
For the energy relative to the elements, the calculation gives -0.226 eV per atom. The value obtained for the total energy is -3.545 eV/atom.


Record 4
Here is crystalline Zn7Ni2Au at its relaxed geometry from Alexandria via LeMat-Bulk. Energies are from PBE-GGA.

abc: 4.161 4.161 10.475
angles: 90.00 90.00 120.00
Positions (direct):
Zn (0.667, 0.333, 0.830)
Zn (0.667, 0.333, 0.133)
Zn (0.667, 0.333, 0.588)
Zn (0.000, 0.000, 0.292)
Zn (0.000, 0.000, 0.717)
Zn (0.333, 0.667, 0.929)
Zn (0.333, 0.667, 0.445)
Au (0.000, 0.000, 0.027)
Ni (0.667, 0.333, 0.361)
Ni (0.333, 0.667, 0.692)

Calculated values
For the energy relative to the elements, the calculation gives -0.068 eV per atom. The value obtained for the total energy is -2.443 eV/atom.


Record 5
Here is crystalline Zn2NiAu at its relaxed geometry from Alexandria via LeMat-Bulk. Energies are from PBE-GGA.

abc: 3.870 3.791 3.870
angles: 90.03 90.00 90.00
Positions (direct):
Zn (0.000, 0.125, 0.875)
Zn (0.500, 0.125, 0.375)
Ni (0.500, 0.625, 0.875)
Au (0.000, 0.625, 0.375)

Calculated values
For the energy relative to the elements, the calculation gives -0.189 eV per atom. The value obtained for the total energy is -3.091 eV/atom.


Record 6
Here is crystalline Zn5NiAu8 at its relaxed geometry from Alexandria via LeMat-Bulk. Energies are from PBE-GGA.

abc: 6.785 6.785 6.785
angles: 109.61 109.19 109.61
Positions (direct):
Au (0.107, 0.738, 0.511)
Au (0.135, 0.731, 0.048)
Au (0.489, 0.596, 0.227)
Au (0.318, 0.269, 0.405)
Au (0.595, 0.913, 0.865)
Au (0.952, 0.087, 0.682)
Au (0.631, 0.404, 0.893)
Au (0.773, 0.262, 0.369)
Zn (0.880, 0.892, 0.226)
Zn (0.334, 0.108, 0.987)
Zn (0.013, 0.346, 0.120)
Zn (0.500, 0.000, 0.500)
Zn (0.774, 0.654, 0.666)
Ni (0.250, 0.500, 0.750)

Calculated values
For the energy relative to the elements, the calculation gives -0.080 eV per atom. The value obtained for the total energy is -2.821 eV/atom.


Record 7
Here is crystalline ZnNi2Au at its relaxed geometry from Alexandria via LeMat-Bulk. Energies are from PBE-GGA.

abc: 4.557 4.557 4.542
angles: 78.60 78.60 35.65
Positions (direct):
Ni (0.252, 0.252, 0.247)
Ni (0.993, 0.993, 0.020)
Au (0.748, 0.748, 0.756)
Zn (0.507, 0.507, 0.478)

Calculated values
For the energy relative to the elements, the calculation gives -0.052 eV per atom. The value obtained for the total energy is -4.081 eV/atom.


Record 8
Here is crystalline Zn4NiAu at its relaxed geometry from Alexandria via LeMat-Bulk. Energies are from PBE-GGA.

abc: 2.706 4.243 7.562
angles: 90.00 90.00 90.00
Positions (direct):
Au (0.998, 0.497, 0.998)
Zn (0.499, 0.997, 0.178)
Zn (0.498, 0.497, 0.343)
Zn (0.499, 0.497, 0.654)
Zn (0.498, 0.997, 0.818)
Ni (0.999, 0.997, 0.498)

Calculated values
For the energy relative to the elements, the calculation gives -0.081 eV per atom. The value obtained for the total energy is -2.440 eV/atom.


Record 9
Here is crystalline Zn3Ni2Au2 at its relaxed geometry from Alexandria via LeMat-Bulk. Energies are from PBE-GGA.

abc: 4.613 3.896 7.184
angles: 105.63 106.53 114.92
Positions (direct):
Au (0.261, 0.549, 0.838)
Au (0.739, 0.451, 0.162)
Zn (0.525, 0.106, 0.686)
Zn (0.475, 0.894, 0.314)
Zn (0.000, 0.000, 0.000)
Ni (0.842, 0.712, 0.582)
Ni (0.158, 0.288, 0.418)

Calculated values
For the energy relative to the elements, the calculation gives -0.155 eV per atom. The value obtained for the total energy is -3.289 eV/atom.


Record 10
Here is crystalline Zn4Ni5Au at its relaxed geometry from Alexandria via LeMat-Bulk. Energies are from PBE-GGA.

abc: 2.953 2.953 14.421
angles: 90.00 90.00 90.00
Positions (direct):
Au (0.000, 0.000, 0.000)
Zn (0.000, 0.000, 0.403)
Zn (0.000, 0.000, 0.597)
Zn (0.000, 0.000, 0.210)
Zn (0.000, 0.000, 0.790)
Ni (0.500, 0.500, 0.693)
Ni (0.500, 0.500, 0.883)
Ni (0.500, 0.500, 0.307)
Ni (0.500, 0.500, 0.117)
Ni (0.500, 0.500, 0.500)

Calculated values
For the energy relative to the elements, the calculation gives -0.174 eV per atom. The value obtained for the total energy is -3.902 eV/atom.


Record 11
Here is crystalline Zn5NiAu4 at its relaxed geometry from Alexandria via LeMat-Bulk. Energies are from PBE-GGA.

abc: 3.165 3.165 15.460
angles: 90.00 90.00 90.00
Positions (direct):
Au (0.000, 0.000, 0.395)
Au (0.000, 0.000, 0.186)
Au (0.000, 0.000, 0.605)
Au (0.000, 0.000, 0.814)
Zn (0.500, 0.500, 0.709)
Zn (0.500, 0.500, 0.917)
Zn (0.500, 0.500, 0.083)
Zn (0.500, 0.500, 0.291)
Zn (0.500, 0.500, 0.500)
Ni (0.000, 0.000, 0.000)

Calculated values
For the energy relative to the elements, the calculation gives -0.200 eV per atom. The value obtained for the total energy is -2.726 eV/atom.


Record 12
Here is crystalline ZnNiAu at its relaxed geometry from Alexandria via LeMat-Bulk. Energies are from PBE-GGA.

abc: 4.234 4.234 5.540
angles: 90.00 90.00 120.00
Positions (direct):
Ni (0.333, 0.667, 0.770)
Ni (0.667, 0.333, 0.230)
Au (0.000, 0.000, 0.500)
Au (0.000, 0.000, 0.000)
Zn (0.667, 0.333, 0.732)
Zn (0.333, 0.667, 0.268)

Calculated values
For the energy relative to the elements, the calculation gives -0.102 eV per atom. The value obtained for the total energy is -3.546 eV/atom.


Record 13
Here is crystalline Zn2NiAu at its relaxed geometry from Alexandria via LeMat-Bulk. Energies are from PBE-GGA.

abc: 2.828 2.828 8.614
angles: 80.55 80.55 60.00
Positions (direct):
Au (0.500, 0.500, 0.500)
Ni (0.667, 0.667, 0.000)
Zn (0.075, 0.075, 0.776)
Zn (0.259, 0.259, 0.224)

Calculated values
For the energy relative to the elements, the calculation gives -0.109 eV per atom. The value obtained for the total energy is -3.011 eV/atom.


Record 14
Here is crystalline Zn6Ni2Au at its relaxed geometry from Alexandria via LeMat-Bulk. Energies are from PBE-GGA.

abc: 3.734 8.174 8.174
angles: 90.00 90.00 90.00
Positions (direct):
Ni (0.000, 0.322, 0.822)
Ni (0.000, 0.678, 0.178)
Ni (0.500, 0.178, 0.322)
Ni (0.500, 0.822, 0.678)
Zn (0.000, 0.333, 0.167)
Zn (0.500, 0.170, 0.992)
Zn (0.000, 0.667, 0.833)
Zn (0.500, 0.833, 0.333)
Zn (0.000, 0.992, 0.830)
Zn (0.500, 0.492, 0.670)
Zn (0.500, 0.167, 0.667)
Zn (0.000, 0.330, 0.492)
Zn (0.500, 0.830, 0.008)
Zn (0.000, 0.670, 0.508)
Zn (0.500, 0.508, 0.330)
Zn (0.000, 0.008, 0.170)
Au (0.000, 0.000, 0.500)
Au (0.500, 0.500, 0.000)

Calculated values
For the energy relative to the elements, the calculation gives -0.152 eV per atom. The value obtained for the total energy is -2.650 eV/atom.


Record 15
Here is crystalline ZnNiAu at its relaxed geometry from Alexandria via LeMat-Bulk. Energies are from PBE-GGA.

abc: 6.706 2.799 9.727
angles: 90.00 110.20 90.00
Positions (direct):
Ni (0.033, 0.500, 0.650)
Ni (0.967, 0.500, 0.350)
Ni (0.967, 0.000, 0.850)
Ni (0.033, 0.000, 0.150)
Zn (0.243, 0.500, 0.032)
Zn (0.243, 0.000, 0.532)
Zn (0.757, 0.000, 0.468)
Zn (0.757, 0.500, 0.968)
Au (0.629, 0.000, 0.167)
Au (0.371, 0.500, 0.333)
Au (0.629, 0.500, 0.667)
Au (0.371, 0.000, 0.833)

Calculated values
For the energy relative to the elements, the calculation gives -0.124 eV per atom. The value obtained for the total energy is -3.568 eV/atom.


Record 16
Here is crystalline ZnNiAu at its relaxed geometry from Alexandria via LeMat-Bulk. Energies are from PBE-GGA.

abc: 3.825 3.825 6.158
angles: 83.34 96.66 90.37
Positions (direct):
Au (0.695, 0.305, 0.686)
Au (0.305, 0.695, 0.314)
Zn (0.804, 0.196, 0.274)
Zn (0.196, 0.804, 0.726)
Ni (0.749, 0.749, 0.000)
Ni (0.251, 0.251, 0.000)

Calculated values
For the energy relative to the elements, the calculation gives -0.119 eV per atom. The value obtained for the total energy is -3.564 eV/atom.


Record 17
Here is crystalline ZnNi2Au at its relaxed geometry from Alexandria via LeMat-Bulk. Energies are from PBE-GGA.

abc: 8.601 8.601 8.601
angles: 18.35 18.35 18.35
Site moments in Bohr magnetons follow the coordinates.
Positions (direct):
Ni (0.252, 0.252, 0.252)  0.42
Ni (0.993, 0.993, 0.993)  0.39
Zn (0.508, 0.508, 0.508)  0.00
Au (0.748, 0.748, 0.748)  -0.01

Calculated values
For the energy relative to the elements, the calculation gives 0.054 eV per atom. The value obtained for the total energy is -3.974 eV/atom.


Record 18
Here is crystalline ZnNiAu at its relaxed geometry from Alexandria via LeMat-Bulk. Energies are from PBE-GGA.

abc: 4.890 4.890 4.890
angles: 146.05 138.65 54.54
Positions (direct):
Zn (0.681, 0.681, 0.000)
Au (0.999, 0.999, 0.000)
Ni (0.320, 0.320, 0.000)

Calculated values
For the energy relative to the elements, the calculation gives -0.119 eV per atom. The value obtained for the total energy is -3.563 eV/atom.


Record 19
Here is crystalline ZnNi2Au at its relaxed geometry from Alexandria via LeMat-Bulk. Energies are from PBE-GGA.

abc: 4.232 4.232 4.232
angles: 60.00 60.00 60.00
Positions (direct):
Zn (0.250, 0.250, 0.250)
Ni (0.000, 0.000, 0.000)
Ni (0.750, 0.750, 0.750)
Au (0.500, 0.500, 0.500)

Calculated values
For the energy relative to the elements, the calculation gives -0.037 eV per atom. The value obtained for the total energy is -4.065 eV/atom.


Record 20
Here is crystalline ZnNiAu at its relaxed geometry from Alexandria via LeMat-Bulk. Energies are from PBE-GGA.

abc: 5.621 5.621 2.857
angles: 75.28 75.27 29.45
Positions (direct):
Au (0.997, 0.997, 0.003)
Zn (0.681, 0.681, 0.319)
Ni (0.322, 0.322, 0.678)

Calculated values
For the energy relative to the elements, the calculation gives -0.124 eV per atom. The value obtained for the total energy is -3.568 eV/atom.